Crystalline SbW at its relaxed geometry, computed with PBE-GGA.

Results
Its volume is 80.5 Å³ per cell. As for the raw formation energy: 0.481 eV per atom. The energy above the most stable polymorph in this dataset is 20.3 kJ per mole of atoms. The magnetization is 0.000 μB per cell.

Unit cell a=5.308 b=5.308 c=4.580 alpha=90.00 beta=90.00 gamma=141.43
Fractional coordinates of all 4 atoms:
Sb: 0.148 0.852 0.750
Sb: 0.852 0.148 0.250
W: 0.429 0.571 0.750
W: 0.571 0.429 0.250